[1]
## CrCdCu2Hg (GGA-PBE)

Data for crystalline CrCdCu2Hg at its relaxed geometry.

abc: 4.838 5.280 4.838
angles: 90.00 90.00 90.00
Atoms (fractional coordinates):
Cd (0.000, 0.000, 0.000)
Cu (0.500, 0.000, 0.000)
Cu (0.000, 0.000, 0.500)
Hg (0.000, 0.500, 0.000)
Cr (0.500, 0.500, 0.500)

DFT total energy = -13.67 eV/cell
ΔH_f (0 K) = 1.073 eV/atom
symmetry = P4/mmm, No. 123

***

[2]
## LiCrCdCu2 (GGA-PBE)

Data for crystalline LiCrCdCu2 at its relaxed geometry.

abc: 4.811 4.618 4.811
angles: 90.00 90.00 90.00
Atoms (fractional coordinates):
Cu (0.000, 0.000, 0.500)
Cu (0.500, 0.000, 0.000)
Cr (0.500, 0.500, 0.500)
Cd (0.000, 0.000, 0.000)
Li (0.000, 0.500, 0.000)

DFT total energy = -16.02 eV/cell
ΔH_f (0 K) = 0.925 eV/atom
symmetry = P4/mmm, No. 123

***

[3]
## Cr2CdCuMo (GGA-PBE)

Data for crystalline Cr2CdCuMo at its relaxed geometry.

abc: 4.650 4.395 4.650
angles: 90.00 90.00 90.00
Atoms (fractional coordinates):
Cr (0.500, 0.000, 0.000)
Cr (0.000, 0.000, 0.500)
Cu (0.000, 0.500, 0.000)
Mo (0.500, 0.500, 0.500)
Cd (0.000, 0.000, 0.000)

DFT total energy = -23.25 eV/cell
ΔH_f (0 K) = 2.369 eV/atom
symmetry = P4/mmm, No. 123

***

[4]
## NaCrCdCu2 (GGA-PBE)

Data for crystalline NaCrCdCu2 at its relaxed geometry.

abc: 4.932 5.198 4.932
angles: 90.00 90.00 90.00
Atoms (fractional coordinates):
Na (0.500, 0.500, 0.500)
Cu (0.000, 0.000, 0.500)
Cu (0.500, 0.000, 0.000)
Cr (0.000, 0.500, 0.000)
Cd (0.000, 0.000, 0.000)

DFT total energy = -15.70 eV/cell
ΔH_f (0 K) = 0.869 eV/atom
symmetry = P4/mmm, No. 123